Below is BeBP2O after structural relaxation, with properties calculated at the GGA-PBE level.

## Properties
- Density: 2.42 g/cm³
- M_tot: 0.00 μB/f.u.
- Raw formation energy: 299 meV/atom
- Polymorph energy (0 for the lowest one): 0.0 meV/atom
- DOS(E_F): 0.502 states/eV per atom
- DFT total energy: -4.94 eV per atom

abc: 5.1303 5.1303 2.5513
angles: 90.00 90.00 90.00
Element x y z (fractional)
P 0.0000 0.5000 0.0000
P 0.5000 0.0000 0.0000
B 0.0000 0.0000 0.0000
O 0.0000 0.0000 0.5000
Be 0.5000 0.5000 0.5000